Record 1
## Ac2SnS (PBE-GGA)

Data for an optimized crystal structure of Ac2SnS.

```
data_Ac2SnS
_chemical_formula_sum 'Ac2 Sn1 S1'
_cell_length_a 3.743
_cell_length_b 3.743
_cell_length_c 8.425
_cell_angle_alpha 90.00
_cell_angle_beta 90.00
_cell_angle_gamma 90.00
_space_group_name_H-M_alt 'P 4/m m m'
_space_group_IT_number 123
_space_group_name_Hall '-P 4 2'
loop_
_atom_site_label
_atom_site_fract_x
_atom_site_fract_y
_atom_site_fract_z
_atom_site_occupancy
Ac1 0.000 0.000 0.226 1
Sn1 0.500 0.500 0.500 1
S1 0.500 0.500 0.000 1
```

Output
VASP energy = -21.0 eV/cell
Uncorrected formation energy = -1152 meV/atom
M_tot = 0.001 μB/f.u.
Crystal system = tetragonal
Excess energy over the best structure of this formula in the dataset = 140 meV per atom

Record 2
## CuPdNO2 (PBE-GGA)

Data for an optimized crystal structure of CuPdNO2.

```
data_CuPdNO2
_chemical_formula_sum 'Cu1 Pd1 N1 O2'
_cell_length_a 4.107
_cell_length_b 4.107
_cell_length_c 3.664
_cell_angle_alpha 90.00
_cell_angle_beta 90.00
_cell_angle_gamma 90.00
_space_group_name_H-M_alt 'P 4/m m m'
_space_group_IT_number 123
_space_group_name_Hall '-P 4 2'
loop_
_atom_site_label
_atom_site_fract_x
_atom_site_fract_y
_atom_site_fract_z
_atom_site_occupancy
Cu1 0.000 0.000 0.000 1
Pd1 0.500 0.500 0.500 1
N1 0.500 0.500 0.000 1
O1 0.000 0.500 0.500 1
```

Output
VASP energy = -22.7 eV/cell
Uncorrected formation energy = 964 meV/atom
M_tot = 0.644 μB/f.u.
Crystal system = tetragonal

Record 3
## YZr3Re (PBE-GGA)

Data for an optimized crystal structure of YZr3Re.

```
data_YZr3Re
_chemical_formula_sum 'Y1 Zr3 Re1'
_cell_length_a 4.978
_cell_length_b 4.978
_cell_length_c 4.978
_cell_angle_alpha 90.00
_cell_angle_beta 90.00
_cell_angle_gamma 90.00
_space_group_name_H-M_alt 'P m -3 m'
_space_group_IT_number 221
_space_group_name_Hall '-P 4 2 3'
loop_
_atom_site_label
_atom_site_fract_x
_atom_site_fract_y
_atom_site_fract_z
_atom_site_occupancy
Y1 0.000 0.000 0.000 1
Zr1 0.000 0.000 0.500 1
Re1 0.500 0.500 0.500 1
```

Output
VASP energy = -34.4 eV/cell
M_tot = 0.000 μB/f.u.
Crystal system = cubic
Formation energy = 2.035 eV/atom
Excess energy over the best structure of this formula in the dataset = 1693 meV per atom

Record 4
## Li8Mg2Bi (PBE-GGA)

Data for an optimized crystal structure of Li8Mg2Bi.

```
data_Li8Mg2Bi
_chemical_formula_sum 'Li16 Mg4 Bi2'
_cell_length_a 7.617
_cell_length_b 14.171
_cell_length_c 4.697
_cell_angle_alpha 90.00
_cell_angle_beta 114.55
_cell_angle_gamma 90.00
_space_group_name_H-M_alt 'C 1 2/m 1'
_space_group_IT_number 12
loop_
_space_group_symop_operation_xyz
'x,y,z'
'-x,-y,-z'
'-x,y,-z'
'x,-y,z'
'x+1/2,y+1/2,z'
'-x+1/2,-y+1/2,-z'
'-x+1/2,y+1/2,-z'
'x+1/2,-y+1/2,z'
loop_
_atom_site_label
_atom_site_fract_x
_atom_site_fract_y
_atom_site_fract_z
_atom_site_occupancy
Li1 0.000 0.200 0.000 1
Li2 0.106 0.500 0.801 1
Li3 0.205 0.106 0.652 1
Mg1 0.000 0.310 0.500 1
Bi1 0.000 0.000 0.000 1
```

Output
VASP energy = -46.9 eV/cell
M_tot = 0.000 μB/f.u.
Crystal system = monoclinic
Formation energy = -0.098 eV/atom